Nb2SbN PBE relaxed; energy relative to the elements, uncorrected = -40.9 kJ/mol of formula units; offset from the most stable computed form = 420 meV/atom; crystal system = tetragonal; spin magnetization = 0.00 Bohr magnetons per cell; calculated density = 6.56 g/cm³
1.0
5.3264 0.0000 0.0000
0.0000 5.3264 0.0000
2.6632 2.6632 5.7350
Nb N Sb
4 2 2
Direct
0.8750 0.7417 0.7500
0.4917 0.1250 0.2500
0.3750 0.5083 0.7500
0.2583 0.6250 0.2500
0.5000 0.5000 0.0000
0.2500 0.7500 0.5000
0.0000 0.0000 0.0000
0.7500 0.2500 0.5000

---

AsWSe2 PBE relaxed; energy relative to the elements, uncorrected = 208.6 kJ/mol of formula units; crystal system = monoclinic; spin magnetization = 0.00 Bohr magnetons per cell; calculated density = 8.82 g/cm³
1.0
4.3158 0.0000 0.0000
0.0000 2.6854 0.0012
0.0000 -2.6980 6.7652
W Se As
1 2 1
Direct
0.5000 0.2500 0.2500
0.0000 0.1072 0.0223
0.0000 0.3928 0.4777
0.5000 0.7500 0.7500

---

PmYPd4 PBE relaxed; offset from the most stable computed form = 274 meV/atom; energy relative to the elements = -0.5666 eV per atom; crystal system = tetragonal; spin magnetization = 0.00 Bohr magnetons per cell; calculated density = 8.12 g/cm³
1.0
3.9449 0.0001 -0.0021
-0.0001 3.9454 -0.0033
0.0054 0.0082 8.6649
Pd Pm Y
4 1 1
Direct
0.0014 0.4976 0.2519
0.5012 0.9971 0.7444
0.5014 0.9975 0.2519
0.0012 0.4971 0.7444
0.5013 0.4972 0.9981
0.0013 0.9973 0.4981

---

TcMoSeBr2 PBE relaxed; energy relative to the elements, uncorrected = 434.6 kJ/mol of formula units; crystal system = tetragonal; spin magnetization = 6.93 Bohr magnetons per cell; calculated density = 5.35 g/cm³
1.0
5.2149 0.0000 0.0000
0.0000 5.2149 0.0000
0.0000 0.0000 4.9378
Se Mo Br Tc
1 1 2 1
Direct
0.0000 0.0000 0.5000
0.0000 0.0000 0.0000
0.0000 0.5000 0.0000
0.5000 0.0000 0.0000
0.5000 0.5000 0.5000

---

CdBTe2 PBE relaxed; energy relative to the elements, uncorrected = 381.3 kJ/mol of formula units; offset from the most stable computed form = 632 meV/atom; crystal system = cubic; spin magnetization = 0.00 Bohr magnetons per cell; calculated density = 6.80 g/cm³
1.0
-4.2940 1.2325 2.4099
-3.8607 2.0487 -2.5812
-4.2261 -2.6931 -0.8073
Cd Te B
1 2 1
Direct
0.5000 0.5000 0.5000
0.2500 0.2500 0.2500
0.7500 0.7500 0.7500
0.0000 0.0000 0.0000

---

TlPbCl2 PBE relaxed; energy relative to the elements, uncorrected = -221.6 kJ/mol of formula units; offset from the most stable computed form = 235 meV/atom; crystal system = orthorhombic; spin magnetization = 0.00 Bohr magnetons per cell; calculated density = 6.07 g/cm³
1.0
3.8533 -0.0042 0.0000
-1.5142 3.5433 0.0000
0.0000 0.0000 9.6695
Pb Cl Tl
1 2 1
Direct
0.0000 0.0000 0.4789
0.0000 0.0000 0.9533
0.5000 0.5000 0.2942
0.5000 0.5000 0.7736

---

Ti8FePt2 PBE relaxed; energy relative to the elements = -0.4118 eV per atom; crystal system = monoclinic; spin magnetization = 0.00 Bohr magnetons per cell; calculated density = 7.73 g/cm³
1.0
-2.4443 -3.7336 0.6514
3.9889 -3.1550 -3.1152
2.9563 1.9244 6.5115
Ti Pt Fe
8 2 1
Direct
0.5921 0.4264 0.1843
0.8152 0.7383 0.6304
0.1848 0.2617 0.3696
0.9849 0.2412 0.9699
0.0151 0.7588 0.0301
0.6536 0.9274 0.3072
0.3464 0.0726 0.6928
0.4079 0.5736 0.8157
0.8115 0.3078 0.6230
0.1885 0.6922 0.3770
0.5000 0.0000 0.0000

---

GeSbAu3 PBE relaxed; energy relative to the elements, uncorrected = 9.5 kJ/mol of formula units; offset from the most stable computed form = 0 meV/atom; crystal system = triclinic; spin magnetization = 0.00 Bohr magnetons per cell; calculated density = 11.73 g/cm³
1.0
4.5766 0.0435 -0.0128
-2.2146 6.2620 -2.0127
0.0071 0.3563 7.6206
Sb Au Ge
2 6 2
Direct
0.5829 0.1445 0.3746
0.4171 0.8555 0.6254
0.8078 0.6236 0.4684
0.1922 0.3764 0.5316
0.9006 0.8274 0.8451
0.0994 0.1726 0.1549
0.6191 0.2186 0.9377
0.3809 0.7814 0.0623
0.1961 0.3857 0.8687
0.8039 0.6143 0.1313

---

KReSi2 PBE relaxed; energy relative to the elements, uncorrected = 45.0 kJ/mol of formula units; offset from the most stable computed form = 41 meV/atom; crystal system = monoclinic; spin magnetization = 0.00 Bohr magnetons per cell; calculated density = 5.40 g/cm³
1.0
4.3540 -0.0122 0.0019
3.2357 2.9133 0.0019
0.9654 0.3690 6.8082
Si K Re
2 1 1
Direct
0.9770 0.9770 0.1178
0.5230 0.5230 0.3822
0.7500 0.7500 0.7500
0.2500 0.2500 0.2500

---

HfAl2V PBE relaxed; offset from the most stable computed form = 450 meV/atom; energy relative to the elements = 0.1953 eV per atom; crystal system = tetragonal; spin magnetization = 0.00 Bohr magnetons per cell; calculated density = 6.56 g/cm³
1.0
-5.1131 2.8029 -4.2694
-4.3877 -5.5025 1.6424
-5.7443 0.0777 0.8139
Hf Al V
2 4 2
Direct
0.0000 0.0000 0.0000
0.7500 0.2500 0.5000
0.5999 0.1250 0.2500
0.3750 0.4001 0.7500
0.8750 0.8499 0.7500
0.1501 0.6250 0.2500
0.2500 0.7500 0.5000
0.5000 0.5000 0.0000

---

Cu2HgW PBE relaxed; energy relative to the elements = 0.5715 eV per atom; crystal system = orthorhombic; spin magnetization = 0.00 Bohr magnetons per cell; calculated density = 13.76 g/cm³
1.0
4.8768 0.0697 0.0000
-1.3432 4.6887 0.0000
0.0000 0.0000 2.6889
Hg W Cu
1 1 2
Direct
0.5000 0.0000 0.5000
0.0000 0.5000 0.5000
0.5000 0.5000 0.0000
0.0000 0.0000 0.0000

---

Tb3Dy3In2 PBE relaxed; offset from the most stable computed form = 112 meV/atom; energy relative to the elements = -0.1561 eV per atom; crystal system = orthorhombic; spin magnetization = 0.00 Bohr magnetons per cell; calculated density = 8.19 g/cm³
1.0
5.1904 0.0000 0.0000
-2.5952 5.9077 0.0000
0.0000 0.0000 15.7881
Dy Tb In
6 6 4
Direct
0.4635 0.9271 0.2500
0.6426 0.2852 0.4685
0.6426 0.2852 0.0315
0.3574 0.7148 0.5315
0.5365 0.0729 0.7500
0.3574 0.7148 0.9685
0.0397 0.0794 0.8959
0.7445 0.4891 0.2500
0.9603 0.9206 0.3959
0.9603 0.9206 0.1041
0.2555 0.5109 0.7500
0.0397 0.0794 0.6041
0.2269 0.4538 0.1419
0.7731 0.5462 0.8581
0.7731 0.5462 0.6419
0.2269 0.4538 0.3581